No. 1
{
  "formula": "SiHOs2",
  "functional": "PBE-GGA",
  "state": "optimized geometry",
  "lattice": [[0.0000, 2.8436, 2.8436], [2.8436, 0.0000, 2.8436], [2.8436, 2.8436, 0.0000]],
  "species": ["Os", "Os", "Si", "H"],
  "frac_coords": [[0.7500, 0.7500, 0.7500], [0.2500, 0.2500, 0.2500], [0.5000, 0.5000, 0.5000], [0.0000, 0.0000, 0.0000]],
  "relative_energy_kj_per_mol_atoms": 22.1,
  "final_energy_ev_per_cell": -29.4,
  "magnetic_moment_mub_per_atom": 0.000,
  "dos_at_fermi_per_ev_cell": 3.49
}


No. 2
{
  "formula": "Ce8Tc2Ir",
  "functional": "PBE-GGA",
  "state": "optimized geometry",
  "lattice": [[4.5265, 0.0000, 0.0000], [0.0000, 6.6039, 0.5557], [-2.2632, -2.1527, 8.5678]],
  "species": ["Ir", "Ce", "Ce", "Ce", "Ce", "Ce", "Ce", "Ce", "Ce", "Tc", "Tc"],
  "frac_coords": [[0.5000, 0.0000, 0.0000], [0.5953, 0.4649, 0.1907], [0.6597, 0.9750, 0.3195], [0.7799, 0.7270, 0.5597], [0.3403, 0.0250, 0.6805], [0.2201, 0.2730, 0.4403], [0.9962, 0.7413, 0.9925], [0.0038, 0.2587, 0.0075], [0.4047, 0.5351, 0.8093], [0.1641, 0.6760, 0.3282], [0.8359, 0.3240, 0.6718]],
  "final_energy_ev_per_cell": -78.8,
  "e_form_mev_per_atom": -153,
  "magnetic_moment_mub_per_atom": 0.000,
  "dos_at_fermi_per_ev_cell": 24.68
}


No. 3
{
  "formula": "GdHoTm2",
  "functional": "PBE-GGA",
  "state": "optimized geometry",
  "lattice": [[-4.6719, 2.5016, 1.8472], [-4.2618, -3.0949, 1.9379], [-1.2031, 0.0007, 5.4818]],
  "species": ["Ho", "Gd", "Tm", "Tm"],
  "frac_coords": [[0.0000, 0.0000, 0.0000], [0.5000, 0.5000, 0.5000], [0.2500, 0.2500, 0.2500], [0.7500, 0.7500, 0.7500]],
  "relative_energy_kj_per_mol_atoms": 8.8,
  "final_energy_ev_per_cell": -27.1,
  "e_form_mev_per_atom": 117,
  "magnetic_moment_mub_per_atom": 2.034,
  "dos_at_fermi_per_ev_cell": 8.40
}


No. 4
{
  "formula": "Li2CrIn",
  "functional": "PBE-GGA",
  "state": "optimized geometry",
  "lattice": [[3.2000, 0.0000, 0.0000], [0.0000, 4.6895, 0.0000], [0.0000, 0.0000, 4.8007]],
  "species": ["Li", "Li", "Cr", "In"],
  "frac_coords": [[0.5000, 0.5000, 0.0000], [0.0000, 0.0000, 0.0000], [0.5000, 0.0000, 0.5000], [0.0000, 0.5000, 0.5000]],
  "final_energy_ev_per_cell": -15.6,
  "e_form_mev_per_atom": 142,
  "magnetic_moment_mub_per_atom": 0.941,
  "dos_at_fermi_per_ev_cell": 1.85
}


No. 5
{
  "formula": "YCr2Cd2",
  "functional": "PBE-GGA",
  "state": "optimized geometry",
  "lattice": [[8.1439, 0.0000, 0.0000], [0.0000, 8.1439, 0.0000], [0.0000, 0.0000, 3.2154]],
  "species": ["Cd", "Cd", "Cd", "Cd", "Cr", "Cr", "Cr", "Cr", "Y", "Y"],
  "frac_coords": [[0.8737, 0.6263, 0.0000], [0.1263, 0.3737, 0.0000], [0.6263, 0.1263, 0.0000], [0.3737, 0.8737, 0.0000], [0.8277, 0.3277, 0.5000], [0.6723, 0.8277, 0.5000], [0.3277, 0.1723, 0.5000], [0.1723, 0.6723, 0.5000], [0.5000, 0.5000, 0.0000], [0.0000, 0.0000, 0.0000]],
  "relative_energy_kj_per_mol_atoms": 0.0,
  "final_energy_ev_per_cell": -51.5,
  "e_form_mev_per_atom": 362,
  "magnetic_moment_mub_per_atom": 1.452,
  "dos_at_fermi_per_ev_cell": 8.20
}


No. 6
{
  "formula": "MgAl2Sb",
  "functional": "PBE-GGA",
  "state": "optimized geometry",
  "lattice": [[-2.5171, -2.0682, 2.5949], [2.9842, 0.0133, 2.9053], [-1.6936, 4.2194, 1.7202]],
  "species": ["Mg", "Al", "Al", "Sb"],
  "frac_coords": [[0.5000, 0.0000, 0.5000], [0.5000, 0.5000, 0.0000], [0.0000, 0.0000, 0.0000], [0.0000, 0.5000, 0.5000]],
  "raw_formation_energy_ev_per_atom": 0.056,
  "final_energy_ev_per_cell": -13.0,
  "magnetic_moment_mub_per_atom": 0.000,
  "dos_at_fermi_per_ev_cell": 1.05
}


No. 7
{
  "formula": "Pr3I7Cl",
  "functional": "PBE-GGA",
  "state": "optimized geometry",
  "lattice": [[7.6929, 0.0000, 0.0000], [0.0000, 8.9054, 0.0000], [0.0000, -4.4527, 7.7123]],
  "species": ["I", "I", "I", "I", "I", "I", "I", "Pr", "Pr", "Pr", "Cl"],
  "frac_coords": [[0.0184, 0.6650, 0.8325], [0.0184, 0.1675, 0.3350], [0.5377, 0.3373, 0.1687], [0.0228, 0.6667, 0.3333], [0.5377, 0.8313, 0.6627], [0.0184, 0.1675, 0.8325], [0.5377, 0.8313, 0.1687], [0.7768, 0.0049, 0.5024], [0.7768, 0.4976, 0.9951], [0.7768, 0.4976, 0.5024], [0.5938, 0.3333, 0.6667]],
  "raw_formation_energy_ev_per_atom": -1.451,
  "final_energy_ev_per_cell": -43.0,
  "magnetic_moment_mub_per_atom": 0.000,
  "dos_at_fermi_per_ev_cell": 5.97
}


No. 8
{
  "formula": "La2InTe",
  "functional": "PBE-GGA",
  "state": "optimized geometry",
  "lattice": [[-1.3083, -2.6923, 5.7497], [2.4600, -1.1680, 5.8825], [-1.9033, 4.5568, 1.7040]],
  "species": ["La", "La", "In", "Te"],
  "frac_coords": [[0.7506, 0.7506, 0.6247], [0.0031, 0.0031, 0.1253], [0.2622, 0.2622, 0.1246], [0.4841, 0.4841, 0.6254]],
  "raw_formation_energy_ev_per_atom": -0.910,
  "relative_energy_kj_per_mol_atoms": 13.2,
  "final_energy_ev_per_cell": -19.4,
  "magnetic_moment_mub_per_atom": 0.000,
  "dos_at_fermi_per_ev_cell": 4.07
}


No. 9
{
  "formula": "Ce6Co2Sb",
  "functional": "PBE-GGA",
  "state": "optimized geometry",
  "lattice": [[-2.6045, 3.0838, 1.9904], [0.8652, -4.6937, 3.3161], [7.0725, 3.8322, 3.3173]],
  "species": ["Ce", "Ce", "Ce", "Ce", "Ce", "Ce", "Sb", "Co", "Co"],
  "frac_coords": [[0.9087, 0.8173, 0.1385], [0.7145, 0.4290, 0.6087], [0.2855, 0.5710, 0.3913], [0.0913, 0.1827, 0.8615], [0.4147, 0.8295, 0.8182], [0.5853, 0.1705, 0.1818], [0.0000, 0.0000, 0.5000], [0.7475, 0.4950, 0.8909], [0.2525, 0.5050, 0.1091]],
  "raw_formation_energy_ev_per_atom": -0.336,
  "final_energy_ev_per_cell": -57.0,
  "magnetic_moment_mub_per_atom": 0.183,
  "dos_at_fermi_per_ev_cell": 19.51
}


No. 10
{
  "formula": "Pr4Ga2Sn5",
  "functional": "PBE-GGA",
  "state": "optimized geometry",
  "lattice": [[4.4883, 0.0000, 0.0000], [0.0000, 7.5638, -0.0318], [0.0000, 0.1735, 8.9623]],
  "species": ["Ga", "Ga", "Pr", "Pr", "Pr", "Pr", "Sn", "Sn", "Sn", "Sn", "Sn"],
  "frac_coords": [[0.0000, 0.0855, 0.3785], [0.0000, 0.9145, 0.6215], [0.5000, 0.2231, 0.1357], [0.5000, 0.7769, 0.8643], [0.5000, 0.7594, 0.3949], [0.5000, 0.2406, 0.6051], [0.0000, 0.8771, 0.1309], [0.0000, 0.1229, 0.8691], [0.0000, 0.4455, 0.3415], [0.0000, 0.5545, 0.6585], [0.0000, 0.5000, 0.0000]],
  "final_energy_ev_per_cell": -52.8,
  "e_form_mev_per_atom": -692,
  "magnetic_moment_mub_per_atom": 0.000,
  "dos_at_fermi_per_ev_cell": 2.63
}


No. 11
{
  "formula": "ScCdRh",
  "functional": "PBE-GGA",
  "state": "optimized geometry",
  "lattice": [[-3.0564, 2.6234, -2.0217], [-4.1766, 0.2907, 1.6681], [-1.3725, 3.8044, 1.9885]],
  "species": ["Cd", "Rh", "Sc"],
  "frac_coords": [[0.0000, 0.0000, 0.0000], [0.5000, 0.5000, 0.5000], [0.2500, 0.2500, 0.2500]],
  "final_energy_ev_per_cell": -14.6,
  "e_form_mev_per_atom": -7,
  "magnetic_moment_mub_per_atom": 0.000,
  "dos_at_fermi_per_ev_cell": 1.76
}


No. 12
{
  "formula": "SmGdMgZn",
  "functional": "PBE-GGA",
  "state": "optimized geometry",
  "lattice": [[5.2625, 0.0000, 0.0000], [2.6313, 4.5575, 0.0000], [2.6313, 1.5192, 4.2969]],
  "species": ["Sm", "Gd", "Mg", "Zn"],
  "frac_coords": [[0.0000, 0.0000, 0.0000], [0.5000, 0.5000, 0.5000], [0.7500, 0.7500, 0.7500], [0.2500, 0.2500, 0.2500]],
  "final_energy_ev_per_cell": -22.4,
  "e_form_mev_per_atom": -188,
  "magnetic_moment_mub_per_atom": 1.985,
  "dos_at_fermi_per_ev_cell": 3.43
}


No. 13
{
  "formula": "LaSi2P2",
  "functional": "PBE-GGA",
  "state": "optimized geometry",
  "lattice": [[-2.8869, -1.4216, 2.2903], [2.5457, -2.5412, 1.6316], [1.2351, 2.2514, 6.3603]],
  "species": ["La", "Si", "Si", "P", "P"],
  "frac_coords": [[0.0000, 0.0000, 0.0000], [0.2500, 0.7500, 0.5000], [0.7500, 0.2500, 0.5000], [0.5886, 0.5886, 0.8228], [0.4114, 0.4114, 0.1772]],
  "raw_formation_energy_ev_per_atom": -0.222,
  "relative_energy_kj_per_mol_atoms": 9.5,
  "final_energy_ev_per_cell": -27.7,
  "magnetic_moment_mub_per_atom": 0.000,
  "dos_at_fermi_per_ev_cell": 1.98
}


No. 14
{
  "formula": "K2IrRh",
  "functional": "PBE-GGA",
  "state": "optimized geometry",
  "lattice": [[-4.5272, -2.0366, -0.6203], [-2.1703, -2.4689, 3.7713], [-3.9686, 1.9694, 2.3238]],
  "species": ["K", "K", "Rh", "Ir"],
  "frac_coords": [[0.0000, 0.0000, 0.0000], [0.2500, 0.2500, 0.2500], [0.7500, 0.7500, 0.7500], [0.5000, 0.5000, 0.5000]],
  "relative_energy_kj_per_mol_atoms": 61.6,
  "final_energy_ev_per_cell": -14.3,
  "e_form_mev_per_atom": 1017,
  "magnetic_moment_mub_per_atom": 0.516,
  "dos_at_fermi_per_ev_cell": 3.62
}


No. 15
{
  "formula": "SmNpRuRh",
  "functional": "PBE-GGA",
  "state": "optimized geometry",
  "lattice": [[4.8559, 0.0000, 0.0000], [2.4279, 4.2053, 0.0000], [2.4279, 1.4018, 3.9648]],
  "species": ["Ru", "Sm", "Np", "Rh"],
  "frac_coords": [[0.7500, 0.7500, 0.7500], [0.0000, 0.0000, 0.0000], [0.5000, 0.5000, 0.5000], [0.2500, 0.2500, 0.2500]],
  "final_energy_ev_per_cell": -35.2,
  "e_form_mev_per_atom": -233,
  "magnetic_moment_mub_per_atom": 0.795,
  "dos_at_fermi_per_ev_cell": 6.25
}


No. 16
{
  "formula": "Th2CrP4Ir3",
  "functional": "PBE-GGA",
  "state": "optimized geometry",
  "lattice": [[4.2060, 0.0000, 0.0000], [0.0000, 4.2060, 0.0000], [0.0000, 0.0000, 9.5573]],
  "species": ["P", "P", "P", "P", "Ir", "Ir", "Ir", "Th", "Th", "Cr"],
  "frac_coords": [[0.5000, 0.5000, 0.0000], [0.5000, 0.0000, 0.6336], [0.0000, 0.0000, 0.0000], [0.0000, 0.5000, 0.3664], [0.0000, 0.0000, 0.5000], [0.5000, 0.0000, 0.8880], [0.0000, 0.5000, 0.1120], [0.0000, 0.5000, 0.7548], [0.5000, 0.0000, 0.2452], [0.5000, 0.5000, 0.5000]],
  "final_energy_ev_per_cell": -82.7,
  "e_form_mev_per_atom": -1006,
  "magnetic_moment_mub_per_atom": 0.222,
  "dos_at_fermi_per_ev_cell": 4.04
}


No. 17
{
  "formula": "Mg3Au",
  "functional": "PBE-GGA",
  "state": "optimized geometry",
  "lattice": [[5.9941, 0.0249, 0.0000], [-4.1146, 5.6669, 0.0000], [0.0000, 0.0000, 4.6499]],
  "species": ["Mg", "Mg", "Mg", "Mg", "Mg", "Mg", "Au", "Au"],
  "frac_coords": [[0.3836, 0.9078, 0.0000], [0.9497, 0.6909, 0.5000], [0.9497, 0.2589, 0.5000], [0.4221, 0.2111, 0.5000], [0.3836, 0.4758, 0.0000], [0.9112, 0.9556, 0.0000], [0.8163, 0.4082, 0.0000], [0.5170, 0.7585, 0.5000]],
  "relative_energy_kj_per_mol_atoms": 5.8,
  "final_energy_ev_per_cell": -19.0,
  "e_form_mev_per_atom": -356,
  "magnetic_moment_mub_per_atom": 0.000,
  "dos_at_fermi_per_ev_cell": 2.61
}


No. 18
{
  "formula": "TiInTcPt",
  "functional": "PBE-GGA",
  "state": "optimized geometry",
  "lattice": [[-1.1516, -1.3054, 4.1692], [-0.9167, -4.3446, 0.8345], [2.8631, -2.4804, 2.4623]],
  "species": ["Ti", "Pt", "Tc", "In"],
  "frac_coords": [[0.2500, 0.2500, 0.2500], [0.0000, 0.0000, 0.0000], [0.5000, 0.5000, 0.5000], [0.7500, 0.7500, 0.7500]],
  "final_energy_ev_per_cell": -28.8,
  "e_form_mev_per_atom": -436,
  "magnetic_moment_mub_per_atom": 0.000,
  "dos_at_fermi_per_ev_cell": 0.39
}


No. 19
{
  "formula": "Ta2CoRh",
  "functional": "PBE-GGA",
  "state": "optimized geometry",
  "lattice": [[4.6964, 0.0263, -0.0459], [-1.2794, 4.5188, -0.0459], [0.0287, 0.0382, 2.8521]],
  "species": ["Ta", "Ta", "Rh", "Co"],
  "frac_coords": [[0.0000, 0.0000, 0.0000], [0.5000, 0.5000, 0.0000], [0.0000, 0.5000, 0.5000], [0.5000, 0.0000, 0.5000]],
  "final_energy_ev_per_cell": -39.2,
  "e_form_mev_per_atom": -263,
  "magnetic_moment_mub_per_atom": 0.000,
  "dos_at_fermi_per_ev_cell": 3.96
}


No. 20
{
  "formula": "AcNdMgAl",
  "functional": "PBE-GGA",
  "state": "optimized geometry",
  "lattice": [[3.8869, 0.0000, 0.0000], [0.0000, 3.8869, 0.0000], [0.0000, 0.0000, 7.9979]],
  "species": ["Mg", "Nd", "Ac", "Al"],
  "frac_coords": [[0.5000, 0.5000, 0.5838], [0.0000, 0.0000, 0.3412], [0.0000, 0.0000, 0.8735], [0.5000, 0.5000, 0.1295]],
  "relative_energy_kj_per_mol_atoms": 0.0,
  "final_energy_ev_per_cell": -15.0,
  "e_form_mev_per_atom": -186,
  "magnetic_moment_mub_per_atom": 0.000,
  "dos_at_fermi_per_ev_cell": 3.74
}